# Zn2TeRu GGA-PBE optimized geometry
# E_form (uncorrected)	0.27	eV/atom
# crystal system	tetragonal
# total magnetic moment	0.00	μB per formula unit
data_Zn2TeRu
_chemical_formula_sum 'Zn2 Te1 Ru1'
_cell_length_a 4.076
_cell_length_b 4.076
_cell_length_c 4.074
_cell_angle_alpha 90.00
_cell_angle_beta 90.00
_cell_angle_gamma 90.00
_space_group_name_H-M_alt 'P 4/m m m'
_space_group_IT_number 123
_space_group_name_Hall '-P 4 2'
loop_
_atom_site_label
_atom_site_type_symbol
_atom_site_fract_x
_atom_site_fract_y
_atom_site_fract_z
_atom_site_occupancy
Zn1 Zn 0.000 0.500 0.000 1
Te1 Te 0.000 0.000 0.500 1
Ru1 Ru 0.500 0.500 0.500 1